[1]
VASP calculation (GGA-PBEsol) on a relaxed structure of SrSbMo.

POSCAR file:
```
SrSbMo
1.0
-0.630 -4.200 -2.320
3.543 -1.791 -2.768
2.427 -3.938 1.423
Sr Sb Mo
1 1 1
Cartesian
0.000 0.000 0.000
4.005 -7.447 -2.749
2.670 -4.965 -1.833
```

Summary:
Size of the total moment in Bohr magnetons per cell: 0.5
Raw formation energy in eV/atom: 0.63


[2]
VASP calculation (GGA-PBEsol) on a relaxed structure of ScTeN2.

POSCAR file:
```
ScTeN2
1.0
3.288 0.000 0.000
1.644 2.847 0.000
1.644 0.949 6.289
N Te Sc
2 1 1
Cartesian
1.644 0.949 4.257
4.932 2.847 2.032
0.000 0.000 0.000
3.288 1.898 3.144
```

Summary:
Size of the total moment in Bohr magnetons per cell: 0.0
Raw formation energy in eV/atom: -0.43